The following is a PBE calculation of crystalline CuNi3Ag at its relaxed geometry, from Alexandria via LeMat-Bulk.

Summary:
The calculation puts the energy relative to the elements at 489 kJ/mol of formula units. The value obtained for the relative energy among the computed polymorphs is 0.00 eV per formula unit. Its total magnetic moment is 1.4 μB per formula unit. The calculation puts the final energy at -3.846 eV/atom. Its space group is Pm-3m, No. 221. The density of states at the Fermi level comes out at 8.59 states/eV/cell.

Lattice parameters (Å, degrees): 4.307 4.307 4.307 90.00 90.00 90.00
Each line ends with the local moment (μB).
Fractional positions:
Ni (0.000, 0.500, 0.000)  0.48
Ni (0.000, 0.000, 0.500)  0.59
Ni (0.500, 0.000, 0.000)  0.28
Cu (0.000, 0.000, 0.000)  0.13
Ag (0.500, 0.500, 0.500)  0.01



The following is a PBE calculation of crystalline CuNiAg at its relaxed geometry, from Alexandria via LeMat-Bulk.

Summary:
The calculation puts the energy relative to the elements at 149 kJ/mol of formula units. The value obtained for the relative energy among the computed polymorphs is 1.06 eV per formula unit. Its total magnetic moment is 0.0 μB per formula unit. The calculation puts the final energy at -3.728 eV/atom. Its space group is F-43m, No. 216. The density of states at the Fermi level comes out at 2.83 states/eV/cell.

Lattice parameters (Å, degrees): 4.061 4.061 4.061 60.00 60.00 60.00
Fractional positions:
Ag (0.500, 0.500, 0.500)
Cu (0.750, 0.750, 0.750)
Ni (0.000, 0.000, 0.000)



The following is a PBE calculation of crystalline CuNi2Ag at its relaxed geometry, from Alexandria via LeMat-Bulk.

Summary:
The calculation puts the energy relative to the elements at 53 kJ/mol of formula units. Its total magnetic moment is 1.0 μB per formula unit. The calculation puts the final energy at -4.490 eV/atom. Its space group is P4mm, No. 99. The density of states at the Fermi level comes out at 5.22 states/eV/cell.

Lattice parameters (Å, degrees): 2.685 2.685 7.173 90.00 90.00 90.00
Each line ends with the local moment (μB).
Fractional positions:
Ag (0.000, 0.000, 0.497)  -0.01
Cu (0.500, 0.500, 0.778)  0.00
Ni (0.000, 0.000, 0.007)  0.49
Ni (0.500, 0.500, 0.218)  0.56



The following is a PBE calculation of crystalline CuNiAg4 at its relaxed geometry, from Alexandria via LeMat-Bulk.

Summary:
The calculation puts the energy relative to the elements at 306 kJ/mol of formula units. Its total magnetic moment is 0.0 μB per formula unit. The calculation puts the final energy at -3.018 eV/atom. Its space group is F-43m, No. 216. The density of states at the Fermi level comes out at 3.03 states/eV/cell.

Lattice parameters (Å, degrees): 5.337 5.337 5.337 60.00 60.00 60.00
Fractional positions:
Cu (0.750, 0.750, 0.750)
Ni (0.000, 0.000, 0.000)
Ag (0.875, 0.375, 0.375)
Ag (0.375, 0.375, 0.875)
Ag (0.375, 0.875, 0.375)
Ag (0.375, 0.375, 0.375)



The following is a PBE calculation of crystalline Cu3NiAg at its relaxed geometry, from Alexandria via LeMat-Bulk.

Summary:
The calculation puts the energy relative to the elements at 646 kJ/mol of formula units. The value obtained for the relative energy among the computed polymorphs is 2.75 eV per formula unit. Its total magnetic moment is 0.4 μB per formula unit. The calculation puts the final energy at -2.845 eV/atom. Its space group is Pm-3m, No. 221. The density of states at the Fermi level comes out at 2.68 states/eV/cell.

Lattice parameters (Å, degrees): 4.646 4.646 4.646 90.00 90.00 90.00
Each line ends with the local moment (μB).
Fractional positions:
Ni (0.500, 0.500, 0.500)  0.45
Cu (0.000, 0.500, 0.000)  -0.01
Cu (0.000, 0.000, 0.500)  0.01
Cu (0.500, 0.000, 0.000)  -0.01
Ag (0.000, 0.000, 0.000)  0.00



The following is a PBE calculation of crystalline CuNiAg at its relaxed geometry, from Alexandria via LeMat-Bulk.

Summary:
The calculation puts the energy relative to the elements at 47 kJ/mol of formula units. The value obtained for the relative energy among the computed polymorphs is 0.00 eV per formula unit. Its total magnetic moment is 0.0 μB per formula unit. The calculation puts the final energy at -4.081 eV/atom. Its space group is I4mm, No. 107. The density of states at the Fermi level comes out at 2.27 states/eV/cell.

Lattice parameters (Å, degrees): 5.662 5.662 5.662 151.74 151.74 40.39
Fractional positions:
Ag (0.001, 0.001, 0.000)
Cu (0.320, 0.320, 0.000)
Ni (0.679, 0.679, 0.000)



The following is a PBE calculation of crystalline CuNi2Ag at its relaxed geometry, from Alexandria via LeMat-Bulk.

Summary:
The calculation puts the energy relative to the elements at 90 kJ/mol of formula units. Its total magnetic moment is 0.5 μB per formula unit. The calculation puts the final energy at -4.395 eV/atom. Its space group is P2/m, No. 10. The density of states at the Fermi level comes out at 4.29 states/eV/cell.

Lattice parameters (Å, degrees): 4.159 2.589 4.913 79.39 90.00 90.00
Each line ends with the local moment (μB).
Fractional positions:
Ag (0.500, 0.250, 0.250)  -0.01
Cu (0.500, 0.750, 0.750)  0.00
Ni (0.000, 0.947, 0.975)  0.27
Ni (0.000, 0.553, 0.525)  0.27



The following is a PBE calculation of crystalline CuNiAgPd at its relaxed geometry, from Alexandria via LeMat-Bulk.

Summary:
The calculation puts the energy relative to the elements at 41 kJ/mol of formula units. Its total magnetic moment is 0.3 μB per formula unit. The calculation puts the final energy at -4.375 eV/atom. Its space group is F-43m, No. 216. The density of states at the Fermi level comes out at 5.10 states/eV/cell.

Lattice parameters (Å, degrees): 4.301 4.301 4.301 60.00 60.00 60.00
Each line ends with the local moment (μB).
Fractional positions:
Ni (0.750, 0.750, 0.750)  0.30
Cu (0.250, 0.250, 0.250)  0.00
Pd (0.000, 0.000, 0.000)  0.04
Ag (0.500, 0.500, 0.500)  0.00



The following is a PBE calculation of crystalline PmCuNiAg at its relaxed geometry, from Alexandria via LeMat-Bulk.

Summary:
The calculation puts the energy relative to the elements at -29 kJ/mol of formula units. Its total magnetic moment is 0.0 μB per formula unit. The calculation puts the final energy at -4.446 eV/atom. Its space group is F-43m, No. 216. The density of states at the Fermi level comes out at 3.60 states/eV/cell.

Lattice parameters (Å, degrees): 4.682 4.682 4.682 60.00 60.00 60.00
Fractional positions:
Ni (0.000, 0.000, 0.000)
Cu (0.500, 0.500, 0.500)
Ag (0.750, 0.750, 0.750)
Pm (0.250, 0.250, 0.250)



The following is a PBE calculation of crystalline Pm2Cu12Ni3Ag at its relaxed geometry, from Alexandria via LeMat-Bulk.

Summary:
The calculation puts the energy relative to the elements at 157 kJ/mol of formula units. Its total magnetic moment is 0.0 μB per formula unit. The calculation puts the final energy at -4.290 eV/atom. Its space group is R-3m, No. 166. The density of states at the Fermi level comes out at 7.19 states/eV/cell.

Lattice parameters (Å, degrees): 6.445 6.445 6.445 83.87 83.87 83.87
Fractional positions:
Pm (0.749, 0.749, 0.749)
Pm (0.251, 0.251, 0.251)
Cu (0.423, 0.423, 0.850)
Cu (0.797, 0.797, 0.289)
Cu (0.289, 0.797, 0.797)
Cu (0.850, 0.423, 0.423)
Cu (0.797, 0.289, 0.797)
Cu (0.423, 0.850, 0.423)
Cu (0.577, 0.577, 0.150)
Cu (0.203, 0.203, 0.711)
Cu (0.711, 0.203, 0.203)
Cu (0.150, 0.577, 0.577)
Cu (0.203, 0.711, 0.203)
Cu (0.577, 0.150, 0.577)
Ni (0.500, 0.000, 0.000)
Ni (0.000, 0.500, 0.000)
Ni (0.000, 0.000, 0.500)
Ag (0.000, 0.000, 0.000)



The following is a PBE calculation of crystalline Pr2Cu12Ni3Ag at its relaxed geometry, from Alexandria via LeMat-Bulk.

Summary:
The calculation puts the energy relative to the elements at 194 kJ/mol of formula units. Its total magnetic moment is 0.0 μB per formula unit. The calculation puts the final energy at -4.272 eV/atom. Its space group is R-3m, No. 166. The density of states at the Fermi level comes out at 7.46 states/eV/cell.

Lattice parameters (Å, degrees): 6.474 6.474 6.474 83.91 83.91 83.91
Fractional positions:
Pr (0.748, 0.748, 0.748)
Pr (0.252, 0.252, 0.252)
Cu (0.424, 0.424, 0.847)
Cu (0.798, 0.798, 0.287)
Cu (0.287, 0.798, 0.798)
Cu (0.847, 0.424, 0.424)
Cu (0.798, 0.287, 0.798)
Cu (0.424, 0.847, 0.424)
Cu (0.576, 0.576, 0.153)
Cu (0.202, 0.202, 0.713)
Cu (0.713, 0.202, 0.202)
Cu (0.153, 0.576, 0.576)
Cu (0.202, 0.713, 0.202)
Cu (0.576, 0.153, 0.576)
Ni (0.500, 0.000, 0.000)
Ni (0.000, 0.500, 0.000)
Ni (0.000, 0.000, 0.500)
Ag (0.000, 0.000, 0.000)



The following is a PBE calculation of crystalline PrCuNiAg at its relaxed geometry, from Alexandria via LeMat-Bulk.

Summary:
The calculation puts the energy relative to the elements at -12 kJ/mol of formula units. Its total magnetic moment is 0.0 μB per formula unit. The calculation puts the final energy at -4.409 eV/atom. Its space group is F-43m, No. 216. The density of states at the Fermi level comes out at 3.72 states/eV/cell.

Lattice parameters (Å, degrees): 4.734 4.734 4.734 60.00 60.00 60.00
Fractional positions:
Pr (0.000, 0.000, 0.000)
Ni (0.750, 0.750, 0.750)
Cu (0.250, 0.250, 0.250)
Ag (0.500, 0.500, 0.500)